No. 1
Computed, not measured: an optimized crystal structure of ThScZnRh at the PBE level of DFT.

Calculated values
Crystal system: cubic
Electronic total energy (eV per atom): -6.085

a b c (Å): 6.966 6.966 6.966
angles (deg): 90.00 90.00 90.00
Space group F-43m (No. 216)
Unique sites:
Th  0.000  0.000  0.000 (multiplicity 4)
Sc  0.000  0.000  0.500 (multiplicity 4)
Zn  0.250  0.250  0.250 (multiplicity 4)
Rh  0.250  0.250  0.750 (multiplicity 4)

No. 2
Computed, not measured: an optimized crystal structure of LiFe at the PBE level of DFT.

Calculated values
Crystal system: trigonal
Electronic total energy (eV per atom): -4.926

a b c (Å): 2.5117 2.5117 26.8277
angles (deg): 90.00 90.00 120.00
Space group R-3m (No. 166, hexagonal axes)
Unique sites:
Li  0.0000  0.0000  0.1181 (multiplicity 6)
Fe  0.0000  0.0000  0.3683 (multiplicity 6)

For reference, formation energy from the elements by record: -0.4908; 0.2622 eV per atom.
For reference, N(E_F) by record: 4.1; 1.5 states/eV/f.u..